Record 1
Computed, not measured: an optimized crystal structure of MgHgSeO at the PBE-GGA level of DFT.

Lattice parameters (Å, degrees): 7.0809 8.4872 12.5265 90.00 90.00 90.00
Last column: nearest neighbours and their distance in Å.
Sites, in units of the cell vectors:
Mg 0.1877 0.1381 0.2090  2 O 1.89-1.91
Mg 0.1877 0.3619 0.7090  2 O 1.89-1.91
Mg 0.3123 0.6381 0.2090  2 O 1.89-1.91
Mg 0.3123 0.8619 0.7090  2 O 1.89-1.91
Mg 0.6877 0.1381 0.2910  2 O 1.89-1.91
Mg 0.6877 0.3619 0.7910  2 O 1.89-1.91
Mg 0.8123 0.6381 0.2910  2 O 1.89-1.91
Mg 0.8123 0.8619 0.7910  2 O 1.89-1.91
Hg 0.0137 0.2380 0.9341  1 O 2.31, 1 Se 2.53
Hg 0.0137 0.2620 0.4341  1 O 2.31, 1 Se 2.53
Hg 0.4863 0.7380 0.9341  1 O 2.31, 1 Se 2.53
Hg 0.4863 0.7620 0.4341  1 O 2.31, 1 Se 2.53
Hg 0.5137 0.2380 0.5659  1 O 2.31, 1 Se 2.53
Hg 0.5137 0.2620 0.0659  1 O 2.31, 1 Se 2.53
Hg 0.9863 0.7380 0.5659  1 O 2.31, 1 Se 2.53
Hg 0.9863 0.7620 0.0659  1 O 2.31, 1 Se 2.53
Se 0.2456 0.5491 0.0101  2 Hg 2.53-2.67, 1 Mg 2.65
Se 0.2456 0.9509 0.5101  2 Hg 2.53-2.67, 1 Mg 2.65
Se 0.2544 0.0491 0.0101  2 Hg 2.53-2.67, 1 Mg 2.65
Se 0.2544 0.4509 0.5101  2 Hg 2.53-2.67, 1 Mg 2.65
Se 0.7456 0.5491 0.4899  2 Hg 2.53-2.67, 1 Mg 2.65
Se 0.7456 0.9509 0.9899  2 Hg 2.53-2.67, 1 Mg 2.65
Se 0.7544 0.0491 0.4899  2 Hg 2.53-2.67, 1 Mg 2.65
Se 0.7544 0.4509 0.9899  2 Hg 2.53-2.67, 1 Mg 2.65
O 0.0555 0.6895 0.2397  2 Mg 1.89-1.91
O 0.0555 0.8105 0.7397  2 Mg 1.89-1.91
O 0.4445 0.1895 0.2397  2 Mg 1.89-1.91
O 0.4445 0.3105 0.7397  2 Mg 1.89-1.91
O 0.5555 0.6895 0.2603  2 Mg 1.89-1.91
O 0.5555 0.8105 0.7603  2 Mg 1.89-1.91
O 0.9445 0.1895 0.2603  2 Mg 1.89-1.91
O 0.9445 0.3105 0.7603  2 Mg 1.89-1.91

Calculated values
The uncorrected energy is -3.5200 eV/atom. For the energy above the most stable polymorph in this dataset, the calculation gives 243 meV/atom.



Record 2
Computed, not measured: an optimized crystal structure of ZnGaNiPd at the PBE-GGA level of DFT.

Lattice parameters (Å, degrees): 4.2463 4.2463 4.2463 60.00 60.00 60.00
Last column: nearest neighbours and their distance in Å.
Sites, in units of the cell vectors:
Zn 0.0000 0.0000 0.0000  4 Ni 2.60, 4 Pd 2.60
Ga 0.5000 0.5000 0.5000  4 Ni 2.60, 4 Pd 2.60
Ni 0.7500 0.7500 0.7500  4 Zn 2.60, 4 Ga 2.60
Pd 0.2500 0.2500 0.2500  4 Zn 2.60, 4 Ga 2.60

Calculated values
The uncorrected energy is -4.1881 eV/atom.



Record 3
Computed, not measured: an optimized crystal structure of PaTaBi at the PBE-GGA level of DFT.

Lattice parameters (Å, degrees): 5.0072 5.0072 5.0072 60.00 60.00 60.00
Last column: nearest neighbours and their distance in Å.
Sites, in units of the cell vectors:
Pa 0.0000 0.0000 0.0000  4 Ta 3.07, 4 Bi 3.07
Ta 0.2500 0.2500 0.2500  4 Pa 3.07
Bi 0.7500 0.7500 0.7500  4 Pa 3.07

Calculated values
The uncorrected energy is -7.2479 eV/atom. For the energy above the most stable polymorph in this dataset, the calculation gives 595 meV/atom.



Record 4
Computed, not measured: an optimized crystal structure of OsPb2 at the PBE-GGA level of DFT.

Lattice parameters (Å, degrees): 4.7085 4.7085 4.7085 60.00 60.00 60.00
Last column: nearest neighbours and their distance in Å.
Sites, in units of the cell vectors:
Os 0.0000 0.0000 0.0000  8 Pb 2.88
Pb 0.2500 0.2500 0.2500  4 Os 2.88
Pb 0.7500 0.7500 0.7500  4 Os 2.88

Calculated values
The uncorrected energy is -5.5142 eV/atom.



Record 5
Computed, not measured: an optimized crystal structure of MgZnNO at the PBE-GGA level of DFT.

Lattice parameters (Å, degrees): 5.9250 7.0709 4.4311 90.00 90.00 90.00
Last column: nearest neighbours and their distance in Å.
Sites, in units of the cell vectors:
Mg 0.0699 0.1340 0.0000  1 O 1.98, 3 N 2.05-2.21
Mg 0.4301 0.1340 0.5000  1 O 1.98, 3 N 2.05-2.21
Mg 0.5699 0.8660 0.0000  1 O 1.98, 3 N 2.05-2.21
Mg 0.9301 0.8660 0.5000  1 O 1.98, 3 N 2.05-2.21
Zn 0.0756 0.6298 0.0007  1 N 1.97, 2 O 2.00-2.01
Zn 0.4244 0.6298 0.5007  1 N 1.97, 2 O 2.00-2.01
Zn 0.5756 0.3702 0.0007  1 N 1.97, 2 O 2.00-2.01
Zn 0.9244 0.3702 0.5007  1 N 1.97, 2 O 2.00-2.01
N 0.0840 0.1264 0.5008  1 Zn 1.97, 2 Mg 2.05
N 0.4160 0.1264 0.0008  1 Zn 1.97, 2 Mg 2.05
N 0.5840 0.8736 0.5008  1 Zn 1.97, 2 Mg 2.05
N 0.9160 0.8736 0.0008  1 Zn 1.97, 2 Mg 2.05
O 0.0861 0.6182 0.5021  1 Mg 1.98, 3 Zn 2.00-2.21
O 0.4139 0.6182 0.0021  1 Mg 1.98, 3 Zn 2.00-2.21
O 0.5861 0.3818 0.5021  1 Mg 1.98, 3 Zn 2.00-2.21
O 0.9139 0.3818 0.0021  1 Mg 1.98, 3 Zn 2.00-2.21

Calculated values
The uncorrected energy is -4.7693 eV/atom. For the energy above the most stable polymorph in this dataset, the calculation gives 176 meV/atom.



Record 6
Computed, not measured: an optimized crystal structure of DyMgB at the PBE-GGA level of DFT.

Lattice parameters (Å, degrees): 4.3076 4.3076 4.3076 60.00 60.00 60.00
Last column: nearest neighbours and their distance in Å.
Sites, in units of the cell vectors:
Dy 0.0000 0.0000 0.0000  4 B 2.64
Mg 0.5000 0.5000 0.5000  4 B 2.64
B 0.2500 0.2500 0.2500  4 Dy 2.64, 4 Mg 2.64

Calculated values
The uncorrected energy is -4.3305 eV/atom. For the energy above the most stable polymorph in this dataset, the calculation gives 0 meV/atom.



Record 7
Computed, not measured: an optimized crystal structure of GaCu2Se2S at the PBE-GGA level of DFT.

Lattice parameters (Å, degrees): 6.7603 6.7603 6.6622 99.68 99.68 119.94
Last column: nearest neighbours and their distance in Å.
Sites, in units of the cell vectors:
Ga 0.0809 0.9191 0.5000  2 S 2.36-2.37, 2 Se 2.43-2.44
Ga 0.9191 0.0809 0.0000  2 S 2.36-2.37, 2 Se 2.43-2.44
Cu 0.2353 0.7515 0.0036  1 S 2.30, 3 Se 2.39-2.40
Cu 0.4241 0.5929 0.5018  1 S 2.30, 3 Se 2.39
Cu 0.5929 0.4241 0.0018  1 S 2.30, 3 Se 2.39
Cu 0.7515 0.2353 0.5036  1 S 2.30, 3 Se 2.39-2.40
Se 0.1217 0.6180 0.6228  3 Cu 2.39-2.40, 1 Ga 2.44
Se 0.2974 0.4649 0.1217  3 Cu 2.39-2.40, 1 Ga 2.43
Se 0.4649 0.2974 0.6217  3 Cu 2.39-2.40, 1 Ga 2.43
Se 0.6180 0.1217 0.1228  3 Cu 2.39-2.40, 1 Ga 2.44
S 0.7881 0.9521 0.6231  2 Cu 2.30, 2 Ga 2.36-2.37
S 0.9521 0.7881 0.1231  2 Cu 2.30, 2 Ga 2.36-2.37

Calculated values
The uncorrected energy is -3.9989 eV/atom. For the energy above the most stable polymorph in this dataset, the calculation gives 6 meV/atom.



Record 8
Computed, not measured: an optimized crystal structure of KTbPbS3 at the PBE-GGA level of DFT.

Lattice parameters (Å, degrees): 8.6112 8.6112 11.4870 90.00 90.00 152.86
Last column: nearest neighbours and their distance in Å.
Sites, in units of the cell vectors:
K 0.1592 0.8408 0.7500  2 S 3.01
K 0.8408 0.1592 0.2500  2 S 3.01
Tb 0.5000 0.5000 0.0000  6 S 2.74-2.87
Tb 0.5000 0.5000 0.5000  6 S 2.74-2.87
Pb 0.1169 0.8831 0.2500  4 S 2.75-2.85
Pb 0.8831 0.1169 0.7500  4 S 2.75-2.85
S 0.1101 0.8899 0.0018  2 Tb 2.74, 1 Pb 2.85, 1 K 3.01
S 0.1101 0.8899 0.4982  2 Tb 2.74, 1 Pb 2.85, 1 K 3.01
S 0.4947 0.5053 0.7500  2 Pb 2.75, 2 Tb 2.87
S 0.5053 0.4947 0.2500  2 Pb 2.75, 2 Tb 2.87
S 0.8899 0.1101 0.5018  2 Tb 2.74, 1 Pb 2.85, 1 K 3.01
S 0.8899 0.1101 0.9982  2 Tb 2.74, 1 Pb 2.85, 1 K 3.01

Calculated values
The uncorrected energy is -4.9013 eV/atom.



Record 9
Computed, not measured: an optimized crystal structure of NbTlFe at the PBE-GGA level of DFT.

Lattice parameters (Å, degrees): 4.4654 4.4654 4.4654 60.00 60.00 60.00
Last column: nearest neighbours and their distance in Å.
Sites, in units of the cell vectors:
Nb 0.0000 0.0000 0.0000  4 Tl 2.73
Tl 0.7500 0.7500 0.7500  4 Fe 2.73, 4 Nb 2.73
Fe 0.5000 0.5000 0.5000  4 Tl 2.73

Calculated values
The uncorrected energy is -5.8759 eV/atom.



Record 10
Computed, not measured: an optimized crystal structure of MgZrPO at the PBE-GGA level of DFT.

Lattice parameters (Å, degrees): 3.5604 6.0984 6.1785 90.00 90.00 90.00
Last column: nearest neighbours and their distance in Å.
Sites, in units of the cell vectors:
Mg 0.0000 0.1106 0.0000  2 O 2.01
Mg 0.0000 0.8894 0.5000  2 O 2.01
Zr 0.5000 0.4716 0.6624  2 O 2.13-2.26
Zr 0.5000 0.5284 0.1624  2 O 2.13-2.26
P 0.0000 0.2878 0.3904  2 Mg 2.52-2.64, 4 Zr 2.69-2.70
P 0.0000 0.7122 0.8904  2 Mg 2.52-2.64, 4 Zr 2.69-2.70
O 0.5000 0.2455 0.9251  2 Mg 2.01, 1 Zr 2.13
O 0.5000 0.7545 0.4251  2 Mg 2.01, 1 Zr 2.13

Calculated values
The uncorrected energy is -6.8180 eV/atom. For the energy above the most stable polymorph in this dataset, the calculation gives 0 meV/atom.



Record 11
Computed, not measured: an optimized crystal structure of MgGaFeAs at the PBE-GGA level of DFT.

Lattice parameters (Å, degrees): 4.5569 4.5569 4.5569 60.00 60.00 60.00
Last column: nearest neighbours and their distance in Å.
Sites, in units of the cell vectors:
Mg 0.0000 0.0000 0.0000  4 As 2.79, 4 Fe 2.79
Ga 0.5000 0.5000 0.5000  4 As 2.79, 4 Fe 2.79
Fe 0.2500 0.2500 0.2500  4 Ga 2.79, 4 Mg 2.79
As 0.7500 0.7500 0.7500  4 Ga 2.79, 4 Mg 2.79

Calculated values
The uncorrected energy is -4.1458 eV/atom. For the energy above the most stable polymorph in this dataset, the calculation gives 140 meV/atom.



Record 12
Computed, not measured: an optimized crystal structure of PrHoAsO at the PBE-GGA level of DFT.

Lattice parameters (Å, degrees): 4.1440 8.1462 5.6746 90.00 90.00 90.00
Last column: nearest neighbours and their distance in Å.
Sites, in units of the cell vectors:
Pr 0.0000 0.1219 0.0000  2 O 2.47-2.50
Pr 0.0000 0.8781 0.5000  2 O 2.47-2.50
Ho 0.5000 0.2923 0.4666  2 O 2.28
Ho 0.5000 0.7077 0.9666  2 O 2.28
As 0.5000 0.3606 0.9633  3 Ho 2.83-2.91, 2 Pr 2.85
As 0.5000 0.6394 0.4633  3 Ho 2.83-2.91, 2 Pr 2.85
O 0.0000 0.1783 0.4337  2 Ho 2.28, 2 Pr 2.47-2.50
O 0.0000 0.8217 0.9337  2 Ho 2.28, 2 Pr 2.47-2.50

Calculated values
The uncorrected energy is -6.6373 eV/atom. For the energy above the most stable polymorph in this dataset, the calculation gives 71 meV/atom.